No. 1
{"formula": "BeMoCl2", "functional": "GGA-PBEsol", "state": "optimized geometry", "cell": [[-1.0543, -3.3800, -2.3213], [0.6118, -0.4235, 4.1997], [-3.4185, 2.0480, -1.4294]], "species": ["Be", "Mo", "Cl", "Cl"], "frac_coords": [[0.0000, 0.0000, 0.0000], [0.5000, 0.0000, 0.5000], [0.7500, 0.5000, 0.2500], [0.2500, 0.5000, 0.7500]], "e_above_lowest_polymorph_mev_per_atom": 618, "spacegroup": "I4/mmm", "n_ef_per_ev_fu": 4.1, "vol_a3_per_cell": 54, "total_energy_ev_per_atom": -4.34, "magnetic_moment_mub_per_cell": 0.19}

No. 2
{"formula": "ReMoW2", "functional": "GGA-PBEsol", "state": "optimized geometry", "cell": [[4.4241, 0.0000, 0.0000], [2.2121, 3.8314, 0.0000], [2.2121, 1.2771, 3.6123]], "species": ["W", "Mo", "Re", "W"], "frac_coords": [[0.0000, 0.0000, 0.0000], [0.5000, 0.5000, 0.5000], [0.2500, 0.2500, 0.2500], [0.7500, 0.7500, 0.7500]], "e_above_lowest_polymorph_mev_per_atom": 36, "spacegroup": "F-43m", "n_ef_per_ev_fu": 2.9, "vol_a3_per_cell": 61, "total_energy_ev_per_atom": -13.13, "magnetic_moment_mub_per_cell": 0.00}